Arrangement A

A plane-wave DFT calculation with PBE was carried out for a relaxed TbDyMgHg crystal. Values from VASP.

Computed properties:
The value obtained for the density is 8.59 g cm⁻³.

```
&SYSTEM
  ibrav = 0, nat = 16, ntyp = 4
/
ATOMIC_SPECIES
Tb 158.93 Tb.upf
Dy 162.50 Dy.upf
Mg 24.30 Mg.upf
Hg 200.59 Hg.upf
ATOMIC_POSITIONS angstrom
Tb 0.000 0.000 0.000
Tb 0.000 3.752 3.752
Tb 3.752 0.000 3.752
Tb 3.752 3.752 0.000
Dy 0.000 0.000 3.752
Dy 0.000 3.752 0.000
Dy 3.752 0.000 0.000
Dy 3.752 3.752 3.752
Mg 1.876 1.876 5.628
Mg 1.876 5.628 1.876
Mg 5.628 1.876 1.876
Mg 5.628 5.628 5.628
Hg 1.876 1.876 1.876
Hg 1.876 5.628 5.628
Hg 5.628 1.876 5.628
Hg 5.628 5.628 1.876
CELL_PARAMETERS angstrom
7.503 0.000 0.000
0.000 7.503 0.000
0.000 0.000 7.503
```


Arrangement B

A plane-wave DFT calculation with PBE was carried out for a relaxed TbDyMgHg crystal. Values from VASP.

Computed properties:
The value obtained for the density is 8.57 g cm⁻³.

```
&SYSTEM
  ibrav = 0, nat = 4, ntyp = 4
/
ATOMIC_SPECIES
Tb 158.93 Tb.upf
Dy 162.50 Dy.upf
Mg 24.30 Mg.upf
Hg 200.59 Hg.upf
ATOMIC_POSITIONS angstrom
Tb 0.000 0.000 0.000
Dy 0.000 0.000 3.638
Mg 1.893 1.893 5.502
Hg 1.893 1.893 1.835
CELL_PARAMETERS angstrom
3.785 0.000 0.000
0.000 3.785 0.000
0.000 0.000 7.385
```


Most stable = arrangement B


Arrangement A

A plane-wave DFT calculation with PBE was carried out for a relaxed Dy2MnHg crystal. Values from VASP.

Computed properties:
The value obtained for the density is 10.11 g cm⁻³.

```
&SYSTEM
  ibrav = 0, nat = 4, ntyp = 3
/
ATOMIC_SPECIES
Dy 162.50 Dy.upf
Mn 54.94 Mn.upf
Hg 200.59 Hg.upf
ATOMIC_POSITIONS angstrom
Dy 0.000 0.000 1.743
Dy 0.000 0.000 5.846
Mn 1.772 1.772 0.000
Hg 1.772 1.772 3.795
CELL_PARAMETERS angstrom
3.544 0.000 0.000
0.000 3.544 0.000
0.000 0.000 7.589
```


Arrangement B

A plane-wave DFT calculation with PBE was carried out for a relaxed Dy2MnHg crystal. Values from VASP.

Computed properties:
The value obtained for the density is 10.03 g cm⁻³.

```
&SYSTEM
  ibrav = 0, nat = 16, ntyp = 3
/
ATOMIC_SPECIES
Dy 162.50 Dy.upf
Mn 54.94 Mn.upf
Hg 200.59 Hg.upf
ATOMIC_POSITIONS angstrom
Dy 1.818 1.818 1.818
Dy 1.818 1.818 5.453
Dy 1.818 5.453 1.818
Dy 1.818 5.453 5.453
Dy 5.453 1.818 1.818
Dy 5.453 1.818 5.453
Dy 5.453 5.453 1.818
Dy 5.453 5.453 5.453
Mn 0.000 0.000 0.000
Mn 0.000 3.635 3.635
Mn 3.635 0.000 3.635
Mn 3.635 3.635 0.000
Hg 0.000 0.000 3.635
Hg 0.000 3.635 0.000
Hg 3.635 0.000 0.000
Hg 3.635 3.635 3.635
CELL_PARAMETERS angstrom
7.271 0.000 0.000
0.000 7.271 0.000
0.000 0.000 7.271
```


Most stable = arrangement A